# RbTl4CdIn2

A relaxed RbTl4CdIn2 crystal (PBE-GGA, the Alexandria database).

Properties
- space-group type = R-3m
- crystal system = trigonal
- formation enthalpy at 0 K (eV per atom) = -0.0237

```
RbTl4CdIn2
1.0
2.707 1.563 10.312
-2.707 1.563 10.312
0.000 -3.126 10.312
Rb Tl Cd In
1 4 1 2
direct
0.000 0.000 0.000
0.132 0.132 0.132
0.401 0.401 0.401
0.599 0.599 0.599
0.868 0.868 0.868
0.500 0.500 0.500
0.240 0.240 0.240
0.760 0.760 0.760
```